# VFe3O6

Crystalline VFe3O6 at its relaxed geometry (GGA+U, the Alexandria database).

Summary:
Electronic total energy ... -6.896 eV/atom

Unit cell a=5.4184 b=6.6053 c=6.6053 alpha=100.23 beta=90.00 gamma=90.00
Last column: nearest neighbours and their distance in Å.
Fractional positions:
O 0.7516 0.3555 0.3390  3 Fe 1.95-2.06
O 0.5817 0.6154 0.0536  1 V 1.74
O 0.2516 0.3390 0.3555  3 Fe 1.95-2.06
O 0.7516 0.6610 0.6445  3 Fe 1.95-2.06
O 0.2516 0.6445 0.6610  3 Fe 1.95-2.06
O 0.3858 0.0035 0.9965  1 V 1.74
O 0.8858 0.9965 0.0035  1 V 1.74
O 0.0817 0.0536 0.6154  1 V 1.74
O 0.6183 0.2390 0.7610  1 V 1.79
O 0.0817 0.3846 0.9464  1 V 1.74
O 0.5817 0.9464 0.3846  1 V 1.74
O 0.1183 0.7610 0.2390  1 V 1.79
Fe 0.9423 0.0839 0.3302  4 O 2.06-2.21
Fe 0.4423 0.3302 0.0839  4 O 2.06-2.21
Fe 0.5095 0.4448 0.5552  5 O 1.95-2.17
Fe 0.9423 0.6698 0.9161  4 O 2.06-2.21
Fe 0.0095 0.5552 0.4448  5 O 1.95-2.17
Fe 0.4423 0.9161 0.6698  4 O 2.06-2.21
V 0.9204 0.1668 0.8332  4 O 1.74-1.79
V 0.4204 0.8332 0.1668  4 O 1.74-1.79


# V2FeWO6

Crystalline V2FeWO6 at its relaxed geometry (GGA+U, the Alexandria database).

Summary:
Electronic total energy ... -7.609 eV/atom

Unit cell a=5.2887 b=5.2556 c=5.6288 alpha=62.33 beta=62.66 gamma=59.59
Last column: nearest neighbours and their distance in Å.
Fractional positions:
O 0.2427 0.9133 0.2359  2 V 2.01-2.12, 1 W 2.03
O 0.3963 0.7181 0.7534  2 V 2.05-2.13, 1 W 2.10, 1 Fe 2.12
O 0.1213 0.4013 0.7458  1 Fe 2.04, 2 V 2.05-2.18, 1 W 2.14
O 0.6191 0.2280 0.2526  2 V 1.99-2.12, 1 W 2.14, 1 Fe 2.22
O 0.7190 0.1329 0.7566  2 V 2.02-2.13, 1 W 2.10, 1 Fe 2.15
O 0.9130 0.6155 0.2400  1 W 2.05, 2 V 2.07-2.10, 1 Fe 2.25
Fe 0.8064 0.8034 0.5764  5 O 2.04-2.25
V 0.5184 0.5181 0.4443  6 O 1.99-2.18
V 0.0122 0.0138 0.9603  6 O 2.02-2.12
W 0.3132 0.3172 0.0500  6 O 2.03-2.14


# V2ZnFeO6

Crystalline V2ZnFeO6 at its relaxed geometry (GGA+U, the Alexandria database).

Summary:
Electronic total energy ... -6.843 eV/atom

Unit cell a=5.3489 b=6.7344 c=6.7344 alpha=84.45 beta=83.55 gamma=83.55
Last column: nearest neighbours and their distance in Å.
Fractional positions:
V 0.2885 0.4008 0.2018  4 O 1.77-1.91
V 0.7885 0.2018 0.4008  4 O 1.77-1.91
V 0.7115 0.5992 0.7982  4 O 1.77-1.91
V 0.2115 0.7982 0.5992  4 O 1.77-1.91
O 0.6301 0.7918 0.9710  1 V 1.81
O 0.8699 0.0290 0.2082  1 V 1.81
O 0.6070 0.4333 0.2892  2 V 1.88-1.91
O 0.8934 0.3693 0.8558  1 V 1.77
O 0.1301 0.9710 0.7918  1 V 1.81
O 0.3934 0.8558 0.3693  1 V 1.77
O 0.8930 0.7108 0.5667  2 V 1.88-1.91
O 0.3699 0.2082 0.0290  1 V 1.81
O 0.1066 0.6307 0.1442  1 V 1.77
O 0.6066 0.1442 0.6307  1 V 1.77
O 0.1070 0.2892 0.4333  2 V 1.88-1.91
O 0.3930 0.5667 0.7108  2 V 1.88-1.91
Zn 0.2500 0.2773 0.7227  6 O 2.07-2.22
Zn 0.7500 0.7227 0.2773  6 O 2.07-2.22
Fe 0.7500 0.0887 0.9113  6 O 2.10-2.19
Fe 0.2500 0.9113 0.0887  6 O 2.10-2.19


# FeWO2

Crystalline FeWO2 at its relaxed geometry (GGA+U, the Alexandria database).

Summary:
Electronic total energy ... -6.381 eV/atom

Unit cell a=4.8272 b=4.8272 c=5.9184 alpha=65.93 beta=65.93 gamma=90.00
Last column: nearest neighbours and their distance in Å.
Fractional positions:
O 0.3750 0.3762 0.7500  2 Fe 2.09, 2 W 2.09
O 0.6238 0.1250 0.2500  2 Fe 2.09, 2 W 2.09
O 0.8750 0.8738 0.7500  2 Fe 2.09, 2 W 2.09
O 0.1262 0.6250 0.2500  2 Fe 2.09, 2 W 2.09
Fe 0.5000 0.5000 0.0000  4 O 2.09
Fe 0.2500 0.7500 0.5000  4 O 2.09
W 0.7500 0.2500 0.5000  4 O 2.09
W 0.0000 0.0000 0.0000  4 O 2.09


# FeWO2

Crystalline FeWO2 at its relaxed geometry (GGA+U, the Alexandria database).

Summary:
Electronic total energy ... -6.096 eV/atom

Unit cell a=3.8871 b=3.8871 c=3.8871 alpha=60.00 beta=60.00 gamma=60.00
Last column: nearest neighbours and their distance in Å.
Fractional positions:
O 0.7500 0.7500 0.7500  4 W 2.38, 4 Fe 2.38
O 0.2500 0.2500 0.2500  4 W 2.38, 4 Fe 2.38
Fe 0.0000 0.0000 0.0000  8 O 2.38
W 0.5000 0.5000 0.5000  8 O 2.38


# Fe3WO7

Crystalline Fe3WO7 at its relaxed geometry (GGA+U, the Alexandria database).

Summary:
Electronic total energy ... -6.835 eV/atom

Unit cell a=5.4532 b=5.4532 c=5.4532 alpha=100.70 beta=100.70 gamma=100.70
Last column: nearest neighbours and their distance in Å.
Fractional positions:
O 0.1393 0.1393 0.1393  1 W 1.87
O 0.0333 0.6896 0.6896  1 W 1.78, 1 Fe 1.96
O 0.6573 0.2599 0.2599  3 Fe 2.01-2.04
O 0.2599 0.2599 0.6573  3 Fe 2.01-2.04
O 0.6896 0.6896 0.0333  1 W 1.78, 1 Fe 1.96
O 0.6896 0.0333 0.6896  1 W 1.78, 1 Fe 1.96
O 0.2599 0.6573 0.2599  3 Fe 2.01-2.04
Fe 0.4083 0.4083 0.0337  5 O 1.96-2.11
Fe 0.4083 0.0337 0.4083  5 O 1.96-2.11
Fe 0.0337 0.4083 0.4083  5 O 1.96-2.11
W 0.8891 0.8891 0.8891  4 O 1.78-1.87


# FeWO3

Crystalline FeWO3 at its relaxed geometry (GGA+U, the Alexandria database).

Summary:
Electronic total energy ... -5.684 eV/atom

Unit cell a=3.7010 b=3.7010 c=3.7010 alpha=90.00 beta=90.00 gamma=90.00
Last column: nearest neighbours and their distance in Å.
Fractional positions:
O 0.5000 0.0000 0.0000  2 Fe 1.85
O 0.0000 0.5000 0.0000  2 Fe 1.85
O 0.0000 0.0000 0.5000  2 Fe 1.85
W 0.5000 0.5000 0.5000  12 O 2.62
Fe 0.0000 0.0000 0.0000  6 O 1.85


# Fe3WO

Crystalline Fe3WO at its relaxed geometry (GGA+U, the Alexandria database).

Summary:
Electronic total energy ... -3.549 eV/atom

Unit cell a=4.8582 b=4.8582 c=4.8582 alpha=90.00 beta=90.00 gamma=90.00
Last column: nearest neighbours and their distance in Å.
Fractional positions:
Fe 0.0000 0.5000 0.0000  2 W 2.43
Fe 0.5000 0.0000 0.0000  2 W 2.43
Fe 0.0000 0.0000 0.5000  2 W 2.43
W 0.0000 0.0000 0.0000  6 Fe 2.43
O 0.5000 0.5000 0.5000  12 Fe 3.44